No. 1
PBE Sr2EuAu, relaxed; calculated formation energy = -0.223 eV per atom; energy above the most stable polymorph in this dataset = 139 meV per atom; crystal system = trigonal; space group = R-3m; DFT total energy = -17.8 eV per cell
1.0
-3.927 -1.222 1.154
-0.585 -3.769 1.922
-0.024 3.411 11.430
Eu Sr Au
1 2 1
Direct
0.000 0.000 0.000 Eu
0.113 0.113 0.661 Sr
0.887 0.887 0.339 Sr
0.500 0.500 0.500 Au

***

No. 2
PBE SrEu2Au, relaxed; calculated formation energy = -0.359 eV per atom; energy above the most stable polymorph in this dataset = 37 meV per atom; crystal system = trigonal; space group = R-3m; DFT total energy = -26.9 eV per cell
1.0
-3.189 -2.827 -0.775
0.940 -4.127 -0.916
-1.138 -4.642 9.515
Sr Eu Au
1 2 1
Direct
0.500 0.500 0.500 Sr
0.723 0.723 0.831 Eu
0.277 0.277 0.169 Eu
0.000 0.000 0.000 Au

***

calculated formation energy of number 1 (Sr2EuAu)?
-0.223 eV per atom